Entry 1:
A plane-wave DFT calculation with GGA-PBE was carried out for crystalline Be3Au at its relaxed geometry. Values from VASP.

Formation energy in eV/atom: -0.06

The structure in Quantum ESPRESSO input format:
```
&SYSTEM
  ibrav = 0, nat = 8, ntyp = 2
/
ATOMIC_SPECIES
Be 9.01 Be.upf
Au 196.97 Au.upf
ATOMIC_POSITIONS crystal
Be 0.250 0.011 0.163
Be 0.250 0.489 0.163
Be 0.250 0.750 0.692
Be 0.750 0.250 0.308
Be 0.750 0.511 0.837
Be 0.750 0.989 0.837
Au 0.250 0.250 0.664
Au 0.750 0.750 0.336
CELL_PARAMETERS angstrom
3.941 0.000 0.000
0.000 5.089 0.000
0.000 0.000 4.259
```

Entry 2:
A plane-wave DFT calculation with GGA-PBE was carried out for crystalline Li4SmU3Se8 at its relaxed geometry. Values from VASP.

ΔE_f (raw) in eV/atom: -1.2944

The structure in Quantum ESPRESSO input format:
```
&SYSTEM
  ibrav = 0, nat = 16, ntyp = 4
/
ATOMIC_SPECIES
Li 6.94 Li.upf
Sm 150.36 Sm.upf
U 238.03 U.upf
Se 78.96 Se.upf
ATOMIC_POSITIONS crystal
Li 0.000 0.000 0.000
Li 0.000 0.500 0.500
Li 0.500 0.000 0.500
Li 0.500 0.500 0.000
Sm 0.500 0.500 0.500
U 0.000 0.000 0.500
U 0.000 0.500 0.000
U 0.500 0.000 0.000
Se 0.245 0.245 0.750
Se 0.245 0.750 0.245
Se 0.250 0.755 0.755
Se 0.253 0.253 0.253
Se 0.747 0.747 0.747
Se 0.750 0.245 0.245
Se 0.755 0.250 0.755
Se 0.755 0.755 0.250
CELL_PARAMETERS angstrom
4.060 2.344 6.588
-4.060 2.344 6.588
0.000 -4.688 6.588
```

Entry 3:
A plane-wave DFT calculation with GGA-PBE was carried out for crystalline Zr5H4 at its relaxed geometry. Values from VASP.

The structure in Quantum ESPRESSO input format:
```
&SYSTEM
  ibrav = 0, nat = 9, ntyp = 2
/
ATOMIC_SPECIES
Zr 91.22 Zr.upf
H 1.01 H.upf
ATOMIC_POSITIONS crystal
Zr 0.000 0.000 0.000
Zr 0.255 0.745 0.500
Zr 0.333 0.333 0.000
Zr 0.667 0.667 0.000
Zr 0.745 0.255 0.500
H 0.058 0.247 0.500
H 0.247 0.058 0.500
H 0.753 0.942 0.500
H 0.942 0.753 0.500
CELL_PARAMETERS angstrom
4.259 -5.329 0.000
4.259 5.329 0.000
0.000 0.000 2.978
```

Entry 4:
A plane-wave DFT calculation with GGA-PBE was carried out for crystalline Li2ScSi at its relaxed geometry. Values from VASP.

ΔE_f (raw) in eV/atom: -0.2386

The structure in Quantum ESPRESSO input format:
```
&SYSTEM
  ibrav = 0, nat = 4, ntyp = 3
/
ATOMIC_SPECIES
Li 6.94 Li.upf
Sc 44.96 Sc.upf
Si 28.09 Si.upf
ATOMIC_POSITIONS crystal
Li 0.000 0.000 0.000
Li 0.418 0.500 0.844
Sc 0.704 0.500 0.398
Si 0.279 0.000 0.553
CELL_PARAMETERS angstrom
3.187 0.000 0.000
0.000 4.246 0.000
-1.542 0.000 5.278
```

Entry 5:
A plane-wave DFT calculation with GGA-PBE was carried out for crystalline IrAu3O at its relaxed geometry. Values from VASP.

ΔE_f (raw) in eV/atom: 0.8675
Offset from the most stable computed form in eV per formula unit: 0.00

The structure in Quantum ESPRESSO input format:
```
&SYSTEM
  ibrav = 0, nat = 5, ntyp = 3
/
ATOMIC_SPECIES
Ir 192.22 Ir.upf
Au 196.97 Au.upf
O 16.00 O.upf
ATOMIC_POSITIONS crystal
Ir 0.000 0.000 0.000
Au 0.000 0.500 0.500
Au 0.500 0.000 0.500
Au 0.500 0.500 0.000
O 0.500 0.500 0.500
CELL_PARAMETERS angstrom
4.374 0.000 0.000
0.000 4.374 0.000
0.000 0.000 4.374
```

Entry 6:
A plane-wave DFT calculation with GGA-PBE was carried out for crystalline NaReO5 at its relaxed geometry. Values from VASP.

ΔE_f (raw) in eV/atom: -1.0238

The structure in Quantum ESPRESSO input format:
```
&SYSTEM
  ibrav = 0, nat = 7, ntyp = 3
/
ATOMIC_SPECIES
Na 22.99 Na.upf
Re 186.21 Re.upf
O 16.00 O.upf
ATOMIC_POSITIONS crystal
Na 0.000 0.000 0.000
Re 0.500 0.500 0.000
O 0.232 0.500 0.732
O 0.279 0.279 0.000
O 0.500 0.000 0.500
O 0.721 0.721 0.000
O 0.768 0.500 0.268
CELL_PARAMETERS angstrom
-1.925 3.461 4.189
1.925 -3.461 4.189
1.925 3.461 -4.189
```

| no. | ρ (g/cm3) | D(E_F) (states/eV/f.u.) | energy (eV/atom) |
| --- | --- | --- | --- |
| 1 | 8.71 | 1.01 | -3.675 |
| 2 | 6.73 | 14.66 | -5.927 |
| 3 | 5.65 | 6.46 | -6.167 |
| 4 | 2.02 | 1.25 | -4.134 |
| 5 | 15.86 | 3.76 | -3.863 |
| 6 | 4.30 | 5.64 | -6.532 |